1.
Computed, not measured: ThCdIr after structural relaxation at the PBE level of DFT.

Unit cell a=4.771 b=4.771 c=4.771 alpha=60.00 beta=60.00 gamma=60.00
Sites, in units of the cell vectors:
Th1 0.250 0.250 0.250
Cd1 0.750 0.750 0.750
Ir1 0.000 0.000 0.000

Output
E_form	-1.43	eV per formula unit


2.
Computed, not measured: KGdSO after structural relaxation at the PBE level of DFT.

Unit cell a=4.458 b=8.014 c=6.420 alpha=90.00 beta=90.00 gamma=90.00
Sites, in units of the cell vectors:
O1 0.500 0.903 0.713
S1 0.000 0.303 0.625
O2 0.500 0.097 0.213
K1 0.000 0.694 0.611
K2 0.000 0.306 0.111
Gd1 0.500 0.868 0.043
Gd2 0.500 0.132 0.543
S2 0.000 0.697 0.125

Output
energy	-5.9038	eV per atom


Number 1: size of the total moment 0.0 Bohr magnetons per cell. Number 2: size of the total moment 0.0 Bohr magnetons per cell.